Material: Al2CuSi
Method: DFT, PBE-GGA
State: optimized geometry

Cell and atoms, written as CIF:
```
data_Al2CuSi
_chemical_formula_sum 'Al4 Cu2 Si2'
_space_group_name_H-M_alt 'I 4/m m m'
_space_group_IT_number 139
_space_group_name_Hall '-I 4 2'
_cell_length_a 3.9122
_cell_length_b 3.9122
_cell_length_c 7.5553
_cell_angle_alpha 90.00
_cell_angle_beta 90.00
_cell_angle_gamma 90.00
loop_
_atom_site_label
_atom_site_type_symbol
_atom_site_fract_x
_atom_site_fract_y
_atom_site_fract_z
Al1 Al 0.0000 0.5000 0.2500
Cu1 Cu 0.0000 0.0000 0.0000
Si1 Si 0.0000 0.0000 0.5000
```

Summary:
Formation energy (no corrections) ... 0.06 eV/atom